# Li3GeP

An optimized crystal structure of Li3GeP (PBE, Alexandria).

Geometry as POSCAR:
```
Li3GeP
1.0
4.6498 0.0000 0.0000
0.0000 4.6498 0.0000
0.0000 0.0000 4.6498
Li Ge P
3 1 1
Direct
0.5000 0.0000 0.0000
0.0000 0.0000 0.5000
0.0000 0.5000 0.0000
0.0000 0.0000 0.0000
0.5000 0.5000 0.5000
```

Values from the calculation:
DOS(E_F) in states/eV per atom: 0.502
Symmetry: No. 221
Polymorph energy (0 for the lowest one) in meV/atom: 693
Raw total energy in eV per formula unit: -13.9
Energy of formation from the pure elements in meV/atom: 376